Entry 1:
DFT (PBE) results for a geometry-optimized ZrTiWAu2 structure.

```
5
Lattice="5.092 0.000 0.000 0.000 4.484 0.000 0.000 0.000 5.092" Properties=species:S:1:pos:R:3 pbc="T T T"
Au 0.000 0.000 2.546
Au 2.546 0.000 0.000
W 0.000 0.000 0.000
Zr 2.546 2.242 2.546
Ti 0.000 2.242 0.000
```

Properties
Calculated volume ... 116.25 Å³ per cell
SG ... P4/mmm, No. 123
Calculated formation energy ... 0.931 eV per atom
Density ... 10.24 Mg/m³

---

Entry 2:
DFT (PBE) results for a geometry-optimized Cd2HgMo structure.

```
4
Lattice="-5.338 2.213 -0.832 1.485 -4.061 -3.293 -1.674 -1.952 1.290" Properties=species:S:1:pos:R:3 pbc="T T T"
Cd -0.094 -3.006 -1.002
Cd 0.000 0.000 0.000
Mo -3.506 0.131 0.229
Hg -1.926 -0.924 -2.063
```

Properties
Calculated volume ... 78.28 Å³ per cell
SG ... C2/m, No. 12
Calculated formation energy ... 0.406 eV per atom
Density ... 11.06 Mg/m³

---

Entry 3:
DFT (PBE) results for a geometry-optimized BaZnOs2Ru structure.

```
5
Lattice="4.731 0.000 0.000 0.000 4.762 0.000 0.000 0.000 4.731" Properties=species:S:1:pos:R:3 pbc="T T T"
Ba 2.365 2.381 2.365
Zn 0.000 0.000 0.000
Os 0.000 0.000 2.365
Os 2.365 0.000 0.000
Ru 0.000 2.381 0.000
```

Properties
Calculated volume ... 106.56 Å³ per cell
SG ... P4/mmm, No. 123
Calculated formation energy ... 1.578 eV per atom
Density ... 10.66 Mg/m³

---

Entry 4:
DFT (PBE) results for a geometry-optimized NbAs2Au structure.

```
8
Lattice="-0.147 2.592 5.299 1.085 -5.198 2.573 6.186 -0.279 3.593" Properties=species:S:1:pos:R:3 pbc="T T T"
As 1.592 0.871 4.473
As 5.004 -1.245 5.676
As 2.205 -2.966 3.228
As 5.448 -2.432 9.554
Nb 0.469 -1.303 3.936
Nb 3.870 -3.390 5.051
Au 0.000 0.000 0.000
Au 3.254 0.505 6.414
```

Properties
Calculated volume ... 202.58 Å³ per cell
SG ... I-42d, No. 122
Calculated formation energy ... 0.117 eV per atom
Density ... 7.21 Mg/m³

---

Number 1: magnetization 0.34 μB per atom. Number 2: magnetization 0.00 μB per atom. Number 3: magnetization 0.45 μB per atom. Number 4: magnetization 0.00 μB per atom.